Entry 1:
Crystalline PrSm3Bi4 at its relaxed geometry, computed with PBE.

The structure belongs to space group Pm-3m (No. 221); the cell edges are 6.473, 6.473 and 6.473 Å and the angles 90.00°, 90.00° and 90.00°. Symmetry generates all atoms from Pr at (0.000, 0.000, 0.000), Sm at (0.000, 0.500, 0.500), Bi at (0.000, 0.000, 0.500) and Bi at (0.500, 0.500, 0.500).

The density comes out at 8.74 g cm⁻³. The calculation puts the formation enthalpy at 0 K at -0.9377 eV per atom. The raw total energy is -5.245 eV per atom. The calculation puts the spin magnetization at 0.00 μB/atom.

=====

Entry 2:
Crystalline TbPrSm2Bi5 at its relaxed geometry, computed with PBE.

The structure belongs to space group P4/mmm (No. 123); the cell edges are 5.591, 5.591 and 11.988 Å and the angles 90.00°, 90.00° and 90.00°. Symmetry generates all atoms from Tb at (0.000, 0.000, 0.000), Pr at (0.000, 0.000, 0.500), Sm at (0.500, 0.500, 0.272), Bi at (0.000, 0.000, 0.243), Bi at (0.000, 0.500, 0.500) and Bi at (0.500, 0.500, 0.000).

The density comes out at 7.29 g cm⁻³. The calculation puts the formation enthalpy at 0 K at 0.0610 eV per atom. The raw total energy is -4.189 eV per atom. The calculation puts the spin magnetization at 0.00 μB/atom.

=====

Entry 3:
Crystalline TbPrSm2Bi4 at its relaxed geometry, computed with PBE.

The structure belongs to space group P2/m (No. 10); the cell edges are 7.903, 4.566 and 7.905 Å and the angles 90.00°, 109.48° and 90.00°. Symmetry generates all atoms from Tb at (0.000, 0.000, 0.000), Pr at (0.500, 0.500, 0.000), Sm at (0.000, 0.500, 0.500), Sm at (0.500, 0.000, 0.500), Bi at (0.245, 0.000, 0.748) and Bi at (0.245, 0.500, 0.249).

The density comes out at 8.87 g cm⁻³. The calculation puts the formation enthalpy at 0 K at -0.9188 eV per atom. The raw total energy is -5.215 eV per atom. The calculation puts the spin magnetization at 0.00 μB/atom.

=====

Entry 4:
Crystalline TbPr2SmBi4 at its relaxed geometry, computed with PBE.

The structure belongs to space group P2/m (No. 10); the cell edges are 7.936, 4.587 and 7.941 Å and the angles 90.00°, 109.49° and 90.00°. Symmetry generates all atoms from Tb at (0.000, 0.000, 0.000), Pr at (0.500, 0.000, 0.500), Pr at (0.500, 0.500, 0.000), Sm at (0.000, 0.500, 0.500), Bi at (0.242, 0.500, 0.245) and Bi at (0.243, 0.000, 0.750).

The density comes out at 8.69 g cm⁻³. The calculation puts the formation enthalpy at 0 K at -0.9290 eV per atom. The raw total energy is -5.233 eV per atom. The calculation puts the spin magnetization at 0.00 μB/atom.

=====

Entry 5:
Crystalline TbPr2SmBi5 at its relaxed geometry, computed with PBE.

The structure belongs to space group P4/mmm (No. 123); the cell edges are 5.524, 5.524 and 11.993 Å and the angles 90.00°, 90.00° and 90.00°. Symmetry generates all atoms from Tb at (0.000, 0.000, 0.000), Pr at (0.500, 0.500, 0.276), Sm at (0.000, 0.000, 0.500), Bi at (0.000, 0.000, 0.245), Bi at (0.000, 0.500, 0.500) and Bi at (0.500, 0.500, 0.000).

The density comes out at 7.42 g cm⁻³. The calculation puts the formation enthalpy at 0 K at -0.0905 eV per atom. The raw total energy is -4.348 eV per atom. The calculation puts the spin magnetization at 0.00 μB/atom.

=====

Entry 6:
Crystalline Tb3PrSm2Bi6 at its relaxed geometry, computed with PBE.

The structure belongs to space group C2/m (No. 12); the cell edges are 19.778, 4.541 and 9.077 Å and the angles 90.00°, 103.18° and 90.00°. Symmetry generates all atoms from Tb at (0.000, 0.000, 0.000), Tb at (0.166, 0.500, 0.333), Pr at (0.000, 0.000, 0.500), Sm at (0.167, 0.500, 0.833), Bi at (0.001, 0.500, 0.244), Bi at (0.166, 0.000, 0.085) and Bi at (0.169, 0.000, 0.581).

The density comes out at 9.09 g cm⁻³. The calculation puts the formation enthalpy at 0 K at -0.9068 eV per atom. The raw total energy is -5.190 eV per atom. The calculation puts the spin magnetization at 0.00 μB/atom.

=====

Entry 7:
Crystalline Tb2PrSmBi4 at its relaxed geometry, computed with PBE.

The structure belongs to space group P2/m (No. 10); the cell edges are 7.872, 4.550 and 7.876 Å and the angles 90.00°, 109.48° and 90.00°. Symmetry generates all atoms from Tb at (0.000, 0.000, 0.000), Tb at (0.000, 0.500, 0.500), Pr at (0.500, 0.000, 0.500), Sm at (0.500, 0.500, 0.000), Bi at (0.242, 0.500, 0.245) and Bi at (0.244, 0.000, 0.750).

The density comes out at 9.02 g cm⁻³. The calculation puts the formation enthalpy at 0 K at -0.9086 eV per atom. The raw total energy is -5.194 eV per atom. The calculation puts the spin magnetization at 0.00 μB/atom.

=====

Entry 8:
Crystalline Pr2SmThBi4 at its relaxed geometry, computed with PBE.

The structure belongs to space group P2/m (No. 10); the cell edges are 7.973, 4.616 and 7.988 Å and the angles 90.00°, 109.46° and 90.00°. Symmetry generates all atoms from Pr at (0.000, 0.000, 0.000), Pr at (0.500, 0.500, 0.000), Sm at (0.000, 0.500, 0.500), Th at (0.500, 0.000, 0.500), Bi at (0.248, 0.000, 0.745) and Bi at (0.250, 0.500, 0.254).

The density comes out at 8.99 g cm⁻³. The calculation puts the formation enthalpy at 0 K at -0.8711 eV per atom. The raw total energy is -5.524 eV per atom. The calculation puts the spin magnetization at 0.00 μB/atom.